No. 1
Computed, not measured: a relaxed structure of Mg6Zn2Sn at the PBE-GGA level of DFT.

Cell: 7.9988 7.9988 7.9988 Å, 115.18 112.01 101.53°
Last column: nearest neighbours and their distance in Å.
Atoms (fractional coordinates):
Mg (0.0302, 0.8243, 0.2060)  3 Zn 2.73-2.88
Mg (0.2508, 0.5455, 0.2947)  2 Zn 2.81-2.82, 2 Sn 3.08-3.09
Mg (0.2508, 0.9561, 0.7053)  2 Zn 2.81-2.82, 2 Sn 3.08-3.09
Mg (0.2857, 0.3076, 0.5934)  3 Zn 2.83-2.88, 1 Sn 3.04
Mg (0.2857, 0.6924, 0.9781)  3 Zn 2.83-2.88, 1 Sn 3.04
Mg (0.3817, 0.1757, 0.2060)  3 Zn 2.73-2.88
Mg (0.6183, 0.8243, 0.7940)  3 Zn 2.73-2.88
Mg (0.7143, 0.3076, 0.0219)  3 Zn 2.83-2.88, 1 Sn 3.04
Mg (0.7143, 0.6924, 0.4066)  3 Zn 2.83-2.88, 1 Sn 3.04
Mg (0.7492, 0.0439, 0.2947)  2 Zn 2.81-2.82, 2 Sn 3.08-3.09
Mg (0.7492, 0.4545, 0.7053)  2 Zn 2.81-2.82, 2 Sn 3.08-3.09
Mg (0.9698, 0.1757, 0.7940)  3 Zn 2.73-2.88
Zn (0.0000, 0.1533, 0.1533)  1 Zn 2.63, 8 Mg 2.81-2.88
Zn (0.0000, 0.8467, 0.8467)  1 Zn 2.63, 8 Mg 2.81-2.88
Zn (0.3750, 0.3750, 0.0000)  1 Zn 2.53, 8 Mg 2.73-2.83
Zn (0.6250, 0.6250, 0.0000)  1 Zn 2.53, 8 Mg 2.73-2.83
Sn (0.0000, 0.5000, 0.5000)  2 Zn 2.97, 8 Mg 3.04-3.09
Sn (0.5000, 0.0000, 0.5000)  12 Mg 3.08-3.26

Magnetic moment ... 0.00 μB/f.u.
Crystal system ... orthorhombic
Calculated density ... 3.38 g cm⁻³
Formation energy from the elements ... -0.07 eV per atom
Symmetry ... Immm (71)

***

No. 2
Computed, not measured: a relaxed structure of Ca2Ga2Ir at the PBE-GGA level of DFT.

Cell: 5.6477 5.6477 8.0797 Å, 100.06 100.06 60.69°
Last column: nearest neighbours and their distance in Å.
Atoms (fractional coordinates):
Ca (0.0381, 0.2654, 0.1607)  6 Ga 3.08-3.20, 3 Ir 3.32-3.38
Ca (0.2654, 0.0381, 0.6607)  6 Ga 3.08-3.20, 3 Ir 3.32-3.38
Ca (0.7346, 0.9619, 0.3393)  6 Ga 3.08-3.20, 3 Ir 3.32-3.38
Ca (0.9619, 0.7346, 0.8393)  6 Ga 3.08-3.20, 3 Ir 3.32-3.38
Ga (0.2553, 0.4977, 0.4990)  2 Ir 2.54-2.55, 1 Ga 2.77
Ga (0.4977, 0.2553, 0.9990)  2 Ir 2.54-2.55, 1 Ga 2.77
Ga (0.5023, 0.7447, 0.0010)  2 Ir 2.54-2.55, 1 Ga 2.77
Ga (0.7447, 0.5023, 0.5010)  2 Ir 2.54-2.55, 1 Ga 2.77
Ir (0.3825, 0.6175, 0.2500)  4 Ga 2.54-2.55
Ir (0.6175, 0.3825, 0.7500)  4 Ga 2.54-2.55

Magnetic moment ... 0.00 μB/f.u.
Offset from the most stable computed form ... 14.8 meV/atom
Crystal system ... monoclinic
Calculated density ... 6.21 g cm⁻³
Formation energy from the elements ... -0.55 eV per atom
Symmetry ... C2/c (15)

***

No. 3
Computed, not measured: a relaxed structure of La2TbNdHg2 at the PBE-GGA level of DFT.

Cell: 5.2280 9.7005 7.3216 Å, 90.00 90.00 90.00°
Last column: nearest neighbours and their distance in Å.
Atoms (fractional coordinates):
La (0.0000, 0.0578, 0.0000)  3 Hg 3.35-3.41, 1 Tb 3.63, 4 La 3.65-3.69
La (0.0000, 0.9422, 0.5000)  3 Hg 3.35-3.41, 1 Tb 3.63, 4 La 3.65-3.69
La (0.5000, 0.1706, 0.3143)  4 Hg 3.18-3.27
La (0.5000, 0.8294, 0.8143)  4 Hg 3.18-3.27
Tb (0.0000, 0.3269, 0.6554)  4 Hg 3.06-3.15
Tb (0.0000, 0.6731, 0.1554)  4 Hg 3.06-3.15
Nd (0.5000, 0.4431, 0.9742)  3 Hg 3.21-3.32
Nd (0.5000, 0.5569, 0.4742)  3 Hg 3.21-3.32
Hg (0.0000, 0.3628, 0.2319)  2 Tb 3.06-3.12, 3 La 3.27-3.41, 2 Nd 3.32
Hg (0.0000, 0.6372, 0.7319)  2 Tb 3.06-3.12, 3 La 3.27-3.41, 2 Nd 3.32
Hg (0.5000, 0.1593, 0.7482)  2 Tb 3.15, 4 La 3.18-3.35, 1 Nd 3.21
Hg (0.5000, 0.8407, 0.2482)  2 Tb 3.15, 4 La 3.18-3.35, 1 Nd 3.21

Magnetic moment ... 0.00 μB/f.u.
Crystal system ... orthorhombic
Calculated density ... 8.78 g cm⁻³
Formation energy from the elements ... -0.34 eV per atom
Symmetry ... Pmc2_1 (26)

***

No. 4
Computed, not measured: a relaxed structure of Dy3Te3Se at the PBE-GGA level of DFT.

Cell: 9.8607 9.8607 6.1313 Å, 90.00 90.00 119.95°
Last column: nearest neighbours and their distance in Å.
Atoms (fractional coordinates):
Dy (0.1724, 0.3441, 0.7500)  1 Se 2.76, 4 Te 3.00-3.07
Dy (0.1717, 0.8283, 0.7500)  1 Se 2.76, 4 Te 3.01-3.07
Dy (0.3441, 0.1724, 0.2500)  1 Se 2.76, 4 Te 3.00-3.07
Dy (0.6559, 0.8276, 0.7500)  1 Se 2.76, 4 Te 3.00-3.07
Dy (0.8283, 0.1717, 0.2500)  1 Se 2.76, 4 Te 3.01-3.07
Dy (0.8276, 0.6559, 0.2500)  1 Se 2.76, 4 Te 3.00-3.07
Te (0.1804, 0.3600, 0.2500)  4 Dy 3.00-3.07
Te (0.1796, 0.8204, 0.2500)  4 Dy 3.01-3.07
Te (0.3600, 0.1804, 0.7500)  4 Dy 3.00-3.07
Te (0.6400, 0.8196, 0.2500)  4 Dy 3.00-3.07
Te (0.8204, 0.1796, 0.7500)  4 Dy 3.01-3.07
Te (0.8196, 0.6400, 0.7500)  4 Dy 3.00-3.07
Se (0.3331, 0.6669, 0.7500)  3 Dy 2.76
Se (0.6669, 0.3331, 0.2500)  3 Dy 2.76

Magnetic moment ... 0.00 μB/f.u.
Crystal system ... orthorhombic
Calculated density ... 6.10 g cm⁻³
Symmetry ... Cmcm (63)
Raw formation energy ... -9.20 eV per formula unit

***

No. 5
Computed, not measured: a relaxed structure of PmTlZnHg at the PBE-GGA level of DFT.

Cell: 5.1711 5.1711 5.1711 Å, 60.00 60.00 60.00°
Last column: nearest neighbours and their distance in Å.
Atoms (fractional coordinates):
Pm (0.0000, 0.0000, 0.0000)  4 Zn 3.17, 4 Hg 3.17
Tl (0.5000, 0.5000, 0.5000)  4 Hg 3.17, 4 Zn 3.17
Zn (0.7500, 0.7500, 0.7500)  4 Tl 3.17, 4 Pm 3.17
Hg (0.2500, 0.2500, 0.2500)  4 Tl 3.17, 4 Pm 3.17

Magnetic moment ... 0.00 μB/f.u.
Crystal system ... cubic
Calculated density ... 10.45 g cm⁻³
Formation energy from the elements ... -0.23 eV per atom
Symmetry ... F-43m (216)

***

No. 6
Computed, not measured: a relaxed structure of USbN at the PBE-GGA level of DFT.

Cell: 3.8930 3.8930 7.4730 Å, 90.00 90.00 90.00°
Last column: nearest neighbours and their distance in Å.
Atoms (fractional coordinates):
U (0.2500, 0.2500, 0.1529)  4 N 2.26
U (0.7500, 0.7500, 0.8471)  4 N 2.26
Sb (0.2500, 0.2500, 0.6138)  4 Sb 3.24, 5 U 3.26-3.44, 4 N 3.48
Sb (0.7500, 0.7500, 0.3862)  4 Sb 3.24, 5 U 3.26-3.44, 4 N 3.48
N (0.2500, 0.7500, 0.0000)  4 U 2.26
N (0.7500, 0.2500, 0.0000)  4 U 2.26

Magnetic moment ... 0.66 μB/f.u.
Offset from the most stable computed form ... 0.0 meV/atom
Crystal system ... tetragonal
Calculated density ... 10.96 g cm⁻³
Symmetry ... P4/nmm (129)
Raw formation energy ... -2.97 eV per formula unit

***

Which formula does entry 2 have? Ca2Ga2Ir